Record 1
Entry from Alexandria: crystalline TaRh2Pb at its relaxed geometry (PBE).

a b c (Å): 6.523 6.523 6.523
angles (deg): 90.00 90.00 90.00
Space group F-43m (No. 216)
Inequivalent atoms, fractional coordinates:
Ta1 0.000 0.000 0.000
Rh1 0.000 0.000 0.500
Rh2 0.250 0.250 0.250
Pb1 0.250 0.250 0.750

Results
* calculated total energy: -118.14 eV per cell
* energy of formation from the pure elements: 0.182 eV per atom

---

Record 2
Entry from Alexandria: crystalline TaRhPb4 at its relaxed geometry (PBE).

a b c (Å): 8.683 8.683 8.683
angles (deg): 90.00 90.00 90.00
Space group F-43m (No. 216)
Inequivalent atoms, fractional coordinates:
Ta1 0.000 0.000 0.000
Rh1 0.250 0.250 0.250
Pb1 0.125 0.125 0.625

Results
* calculated total energy: -107.78 eV per cell
* energy of formation from the pure elements: 1.182 eV per atom

---

Record 3
Entry from Alexandria: crystalline TaRhPb2 at its relaxed geometry (PBE).

a b c (Å): 3.229 5.456 9.548
angles (deg): 90.00 90.00 90.00
Space group Immm (No. 71)
Inequivalent atoms, fractional coordinates:
Ta1 0.000 0.000 0.000
Rh1 0.000 0.000 0.500
Pb1 0.000 0.500 0.232

Results
* calculated total energy: -49.43 eV per cell
* energy of formation from the pure elements: 0.477 eV per atom
* energy above the most stable polymorph in this dataset: 479 meV per atom

---

Record 4
Entry from Alexandria: crystalline Ta2RhPb at its relaxed geometry (PBE).

a b c (Å): 3.192 3.192 7.781
angles (deg): 90.00 90.00 90.00
Space group P4mm (No. 99)
Inequivalent atoms, fractional coordinates:
Ta1 0.000 0.000 0.000
Ta2 0.500 0.500 0.237
Rh1 0.000 0.000 0.411
Pb1 0.500 0.500 0.699

Results
* calculated total energy: -34.60 eV per cell
* energy of formation from the pure elements: 0.042 eV per atom

---

Record 5
Entry from Alexandria: crystalline TaTiRhPb2 at its relaxed geometry (PBE).

a b c (Å): 5.262 5.262 4.414
angles (deg): 90.00 90.00 90.00
Space group P4/mmm (No. 123)
Inequivalent atoms, fractional coordinates:
Ta1 0.000 0.000 0.000
Ti1 0.500 0.500 0.500
Rh1 0.500 0.500 0.000
Pb1 0.000 0.500 0.500

Results
* calculated total energy: -28.80 eV per cell
* energy of formation from the pure elements: 1.143 eV per atom

---

Record 6
Entry from Alexandria: crystalline Y2TaRhPb at its relaxed geometry (PBE).

a b c (Å): 5.634 5.634 5.142
angles (deg): 90.00 90.00 90.00
Space group P4/mmm (No. 123)
Inequivalent atoms, fractional coordinates:
Y1 0.000 0.500 0.000
Ta1 0.000 0.000 0.500
Rh1 0.500 0.500 0.500
Pb1 0.000 0.000 0.000

Results
* calculated total energy: -28.98 eV per cell
* energy of formation from the pure elements: 1.372 eV per atom

---

Record 7
Entry from Alexandria: crystalline Zr2TaRhPb at its relaxed geometry (PBE).

a b c (Å): 5.182 5.182 4.721
angles (deg): 90.00 90.00 90.00
Space group P4/mmm (No. 123)
Inequivalent atoms, fractional coordinates:
Zr1 0.000 0.500 0.000
Ta1 0.000 0.000 0.000
Rh1 0.000 0.000 0.500
Pb1 0.500 0.500 0.500

Results
* calculated total energy: -36.72 eV per cell
* energy of formation from the pure elements: 0.658 eV per atom

---

Record 8
Entry from Alexandria: crystalline ZrTa2RhPb at its relaxed geometry (PBE).

a b c (Å): 4.879 4.879 5.376
angles (deg): 90.00 90.00 90.00
Space group P4/mmm (No. 123)
Inequivalent atoms, fractional coordinates:
Zr1 0.000 0.000 0.000
Ta1 0.000 0.500 0.000
Rh1 0.500 0.500 0.500
Pb1 0.000 0.000 0.500

Results
* calculated total energy: -33.86 eV per cell
* energy of formation from the pure elements: 1.890 eV per atom